LaMgFeCoO6 | PBE with a Hubbard U | optimized geometry

Cell: 5.3034 5.4316 9.2226 Å, 90.00 124.72 90.00°
Space group Pc (No. 7)
One atom of each set of equivalent atoms:
La: 0.0000 0.2196 0.0000 (multiplicity 2)
Mg: 0.4658 0.3054 0.5015 (multiplicity 2)
Fe: 0.7437 0.2497 0.2529 (multiplicity 2)
Co: 0.2428 0.2516 0.7500 (multiplicity 2)
O: 0.0338 0.4820 0.8009 (multiplicity 2)
O: 0.1107 0.0436 0.3062 (multiplicity 2)
O: 0.4156 0.4899 0.1947 (multiplicity 2)
O: 0.4836 0.0527 0.6940 (multiplicity 2)
O: 0.5606 0.2928 0.9941 (multiplicity 2)
O: 0.8740 0.2339 0.5066 (multiplicity 2)

Results
E in eV per atom: -6.653